[1]
# BiTe3As, optimized geometry, DFT PBE-GGA
# - spin magnetization (μB per cell) = 0.9
# - energy (eV/f.u.) = -13.30
# - relative energy among the computed polymorphs (eV per atom) = 1.018
data_BiTe3As
_chemical_formula_sum 'Bi1 Te3 As1'
_cell_length_a 5.914
_cell_length_b 5.914
_cell_length_c 5.914
_cell_angle_alpha 90.00
_cell_angle_beta 90.00
_cell_angle_gamma 90.00
_symmetry_space_group_name_H-M 'P m -3 m'
_symmetry_Int_Tables_number 221
_symmetry_space_group_name_Hall '-P 4 2 3'
loop_
_atom_site_label
_atom_site_fract_x
_atom_site_fract_y
_atom_site_fract_z
Bi1 0.000 0.000 0.000
Te1 0.000 0.000 0.500
As1 0.500 0.500 0.500

=====

[2]
# Bi2TeAs2, optimized geometry, DFT PBE-GGA
# - spin magnetization (μB per cell) = 0.0
# - energy (eV/f.u.) = -19.07
# - relative energy among the computed polymorphs (eV per atom) = 0.109
data_Bi2TeAs2
_chemical_formula_sum 'Bi4 Te2 As4'
_cell_length_a 8.635
_cell_length_b 8.635
_cell_length_c 3.630
_cell_angle_alpha 90.00
_cell_angle_beta 90.00
_cell_angle_gamma 90.00
_symmetry_space_group_name_H-M 'P 4/m b m'
_symmetry_Int_Tables_number 127
_symmetry_space_group_name_Hall '-P 4 2ab'
loop_
_atom_site_label
_atom_site_fract_x
_atom_site_fract_y
_atom_site_fract_z
Bi1 0.155 0.345 0.000
Te1 0.000 0.000 0.000
As1 0.138 0.638 0.500

=====

[3]
# Bi3TeAs, optimized geometry, DFT PBE-GGA
# - spin magnetization (μB per cell) = 0.0
# - energy (eV/f.u.) = -16.78
data_Bi3TeAs
_chemical_formula_sum 'Bi3 Te1 As1'
_cell_length_a 5.574
_cell_length_b 5.574
_cell_length_c 5.574
_cell_angle_alpha 90.00
_cell_angle_beta 90.00
_cell_angle_gamma 90.00
_symmetry_space_group_name_H-M 'P m -3 m'
_symmetry_Int_Tables_number 221
_symmetry_space_group_name_Hall '-P 4 2 3'
loop_
_atom_site_label
_atom_site_fract_x
_atom_site_fract_y
_atom_site_fract_z
Bi1 0.000 0.000 0.500
Te1 0.500 0.500 0.500
As1 0.000 0.000 0.000

=====

Q: Which value of spin magnetization does entry 1 give?
A: 0.9 μB per cell

=====

Please write out number 3 again, unchanged.
# Bi3TeAs, optimized geometry, DFT PBE-GGA
# - spin magnetization (μB per cell) = 0.0
# - energy (eV/f.u.) = -16.78
data_Bi3TeAs
_chemical_formula_sum 'Bi3 Te1 As1'
_cell_length_a 5.574
_cell_length_b 5.574
_cell_length_c 5.574
_cell_angle_alpha 90.00
_cell_angle_beta 90.00
_cell_angle_gamma 90.00
_symmetry_space_group_name_H-M 'P m -3 m'
_symmetry_Int_Tables_number 221
_symmetry_space_group_name_Hall '-P 4 2 3'
loop_
_atom_site_label
_atom_site_fract_x
_atom_site_fract_y
_atom_site_fract_z
Bi1 0.000 0.000 0.500
Te1 0.500 0.500 0.500
As1 0.000 0.000 0.000